The following is a DFT calculation (PBE-GGA) of Sm2Se3F after structural relaxation.

- energy relative to the elements, uncorrected (eV per atom) = -2.0448
- calculated volume (Å³ per atom) = 25.99
- E (eV/atom) = -5.6720

Lattice parameters (Å, degrees): 7.2645 7.2645 7.2645 67.01 67.01 67.01
Element x y z (fractional)
Se  0.4739  0.0261  0.7500
Se  0.0261  0.7500  0.4739
Se  0.7500  0.4739  0.0261
Se  0.5261  0.9739  0.2500
Se  0.9739  0.2500  0.5261
Se  0.2500  0.5261  0.9739
F  0.5000  0.5000  0.5000
F  0.0000  0.0000  0.0000
Sm  0.3691  0.3691  0.3691
Sm  0.8691  0.8691  0.8691
Sm  0.1309  0.1309  0.1309
Sm  0.6309  0.6309  0.6309